A relaxed Cs3DyCl6 crystal. Source: the Alexandria database, functional PBE-GGA.

Its total energy is -3.96 eV/atom. The magnetization is 0.00 μB per atom. The uncorrected formation energy comes out at -21.3 eV per formula unit. Its density of states at the Fermi level is 0.0 states/eV per cell.

The structure belongs to space group Fm-3m (No. 225); the cell edges are 11.860, 11.860 and 11.860 Å and the angles 90.00°, 90.00° and 90.00°. The asymmetric unit holds Cs at (0.000, 0.000, 0.000), Cs at (0.250, 0.250, 0.250), Dy at (0.000, 0.000, 0.500) and Cl at (0.000, 0.000, 0.277).

---

A relaxed HfGa2PdAu crystal. Source: the Alexandria database, functional PBE-GGA.

Its total energy is -4.62 eV/atom. The magnetization is 0.00 μB per atom. Its density of states at the Fermi level is 3.9 states/eV per cell. The value obtained for the calculated formation energy is 278 meV/atom.

The structure belongs to space group P4/mmm (No. 123); the cell edges are 4.606, 4.606 and 5.076 Å and the angles 90.00°, 90.00° and 90.00°. The asymmetric unit holds Hf at (0.000, 0.000, 0.000), Ga at (0.000, 0.500, 0.500), Pd at (0.500, 0.500, 0.500) and Au at (0.500, 0.500, 0.000).